1.
A relaxed structure of AsSeS2N. Source: Alexandria, functional PBE.

a = 4.9176 Å, b = 4.9176 Å, c = 3.6448 Å
α = 90.00°, β = 90.00°, γ = 90.00°
With the nearest neighbours (Å) after each atom.
Atoms (fractional coordinates):
As: 0.5000 0.5000 0.5000  8 S 3.06
S: 0.0000 0.5000 0.0000  2 Se 2.46
S: 0.5000 0.0000 0.0000  2 Se 2.46
Se: 0.0000 0.0000 0.0000  2 N 1.82
N: 0.0000 0.0000 0.5000  2 Se 1.82

Energy relative to the lowest polymorph listed for this composition (eV per atom): 0.1160
Formation energy from raw total energies (meV/atom): 1170
Space-group type: P4/mmm, No. 123
Density of states at the Fermi level (states/eV per cell): 4.85
E_tot (eV per cell): -18.864
Crystal system: tetragonal
Total magnetization (μB per atom): 0.0000

=====

2.
A relaxed structure of PaTl2Rh3O12. Source: Alexandria, functional PBE.

a = 7.6525 Å, b = 7.6525 Å, c = 7.6525 Å
α = 56.27°, β = 56.27°, γ = 56.27°
With the nearest neighbours (Å) after each atom.
Atoms (fractional coordinates):
Pa: 0.0000 0.0000 0.0000  6 O 2.13
Tl: 0.5908 0.5908 0.5908  3 O 2.87
Tl: 0.4092 0.4092 0.4092  3 O 2.87
Rh: 0.5000 0.0000 0.0000  6 O 1.94-1.96
Rh: 0.0000 0.5000 0.0000  6 O 1.94-1.96
Rh: 0.0000 0.0000 0.5000  6 O 1.94-1.96
O: 0.3169 0.3169 0.9141  2 Rh 1.94
O: 0.9316 0.9316 0.3381  1 Rh 1.96, 1 Pa 2.13
O: 0.3381 0.9316 0.9316  1 Rh 1.96, 1 Pa 2.13
O: 0.9141 0.3169 0.3169  2 Rh 1.94
O: 0.9316 0.3381 0.9316  1 Rh 1.96, 1 Pa 2.13
O: 0.3169 0.9141 0.3169  2 Rh 1.94
O: 0.6831 0.6831 0.0859  2 Rh 1.94
O: 0.0684 0.0684 0.6619  1 Rh 1.96, 1 Pa 2.13
O: 0.6619 0.0684 0.0684  1 Rh 1.96, 1 Pa 2.13
O: 0.0859 0.6831 0.6831  2 Rh 1.94
O: 0.0684 0.6619 0.0684  1 Rh 1.96, 1 Pa 2.13
O: 0.6831 0.0859 0.6831  2 Rh 1.94

Formation energy from raw total energies (meV/atom): -1035
Space-group type: R-3m, No. 166
Density of states at the Fermi level (states/eV per cell): 16.16
E_tot (eV per cell): -114.412
Crystal system: trigonal
Total magnetization (μB per atom): 0.0000

=====

3.
A relaxed structure of Tl2InNi. Source: Alexandria, functional PBE.

a = 9.1440 Å, b = 9.1440 Å, c = 9.1440 Å
α = 22.08°, β = 22.08°, γ = 22.08°
With the nearest neighbours (Å) after each atom.
Atoms (fractional coordinates):
In: 0.2500 0.2500 0.2500  6 Tl 3.34, 6 In 3.50
Ni: 0.7500 0.7500 0.7500  6 Tl 2.71
Tl: 0.0161 0.0161 0.0161  3 Ni 2.71
Tl: 0.4839 0.4839 0.4839  3 Ni 2.71

Formation enthalpy at 0 K (eV per atom): 0.22
Space-group type: R-3m, No. 166
Density of states at the Fermi level (states/eV per cell): 1.87
E_tot (eV per cell): -12.362
Crystal system: trigonal
Total magnetization (μB per atom): 0.0000

=====

4.
A relaxed structure of PrSm4Sn. Source: Alexandria, functional PBE.

a = 5.2100 Å, b = 6.4299 Å, c = 13.0591 Å
α = 90.00°, β = 101.51°, γ = 90.00°
With the nearest neighbours (Å) after each atom.
Atoms (fractional coordinates):
Pr: 0.5350 0.9402 0.0699  6 Sm 3.40-3.79, 2 Pr 3.68
Pr: 0.4650 0.4402 0.9301  6 Sm 3.40-3.79, 2 Pr 3.68
Sm: 0.8695 0.2778 0.7390  4 Sm 3.27-3.63, 2 Sn 3.28-3.43
Sm: 0.1305 0.7778 0.2610  4 Sm 3.27-3.63, 2 Sn 3.28-3.43
Sm: 0.4026 0.9068 0.8051  2 Sn 3.26, 4 Sm 3.36-3.63, 2 Pr 3.40
Sm: 0.5974 0.4068 0.1949  2 Sn 3.26, 4 Sm 3.36-3.63, 2 Pr 3.40
Sm: 0.7261 0.5132 0.4522  3 Sn 3.24-3.33, 5 Sm 3.36-3.51
Sm: 0.2739 0.0132 0.5478  3 Sn 3.24-3.33, 5 Sm 3.36-3.51
Sm: 0.6820 0.0056 0.3641  2 Sn 3.20, 7 Sm 3.27-3.51
Sm: 0.3180 0.5056 0.6359  2 Sn 3.20, 7 Sm 3.27-3.51
Sn: 0.8321 0.7898 0.6641  9 Sm 3.20-3.43
Sn: 0.1679 0.2898 0.3359  9 Sm 3.20-3.43

Formation enthalpy at 0 K (eV per atom): 0.03
Space-group type: Cmc2_1, No. 36
Density of states at the Fermi level (states/eV per cell): 14.43
E_tot (eV per cell): -54.984
Crystal system: orthorhombic
Total magnetization (μB per atom): 0.0001